# CrCo PBE optimized geometry
data_CrCo
_symmetry_space_group_name_H-M 'P 63/m'
_symmetry_Int_Tables_number 176
_symmetry_space_group_name_Hall '-P 6c'
_cell_length_a 6.5630
_cell_length_b 6.5630
_cell_length_c 3.8311
_cell_angle_alpha 90.00
_cell_angle_beta 90.00
_cell_angle_gamma 120.00
loop_
_atom_site_label
_atom_site_type_symbol
_atom_site_fract_x
_atom_site_fract_y
_atom_site_fract_z
Cr1 Cr 0.1053 0.4835 0.2500
Co1 Co 0.0538 0.2428 0.7500
# DFT formation energy ... 0.42 eV per atom
# DFT total energy ... -7.950 eV per atom


# CrCo PBE optimized geometry
data_CrCo
_symmetry_space_group_name_H-M 'I 41/a m d'
_symmetry_Int_Tables_number 141
_cell_length_a 3.5442
_cell_length_b 3.5442
_cell_length_c 6.9712
_cell_angle_alpha 90.00
_cell_angle_beta 90.00
_cell_angle_gamma 90.00
loop_
_symmetry_equiv_pos_as_xyz
'x,y,z'
'-x,-y,-z'
'-y+1/4,x+3/4,z+1/4'
'y+1/4,-x+3/4,-z+1/4'
'-x+1/2,-y,z+1/2'
'x+1/2,y,-z+1/2'
'y+1/4,-x+1/4,z+3/4'
'-y+1/4,x+1/4,-z+3/4'
'x,-y,-z'
'-x,y,z'
'-y+1/4,-x+1/4,-z+3/4'
'y+1/4,x+1/4,z+3/4'
'-x+1/2,y,-z+1/2'
'x+1/2,-y,z+1/2'
'y+1/4,x+3/4,-z+1/4'
'-y+1/4,-x+3/4,z+1/4'
'x+1/2,y+1/2,z+1/2'
'-x+1/2,-y+1/2,-z+1/2'
'-y+3/4,x+1/4,z+3/4'
'y+3/4,-x+1/4,-z+3/4'
'-x,-y+1/2,z'
'x,y+1/2,-z'
'y+3/4,-x+3/4,z+1/4'
'-y+3/4,x+3/4,-z+1/4'
'x+1/2,-y+1/2,-z+1/2'
'-x+1/2,y+1/2,z+1/2'
'-y+3/4,-x+3/4,-z+1/4'
'y+3/4,x+3/4,z+1/4'
'-x,y+1/2,-z'
'x,-y+1/2,z'
'y+3/4,x+1/4,-z+3/4'
'-y+3/4,-x+1/4,z+3/4'
loop_
_atom_site_label
_atom_site_type_symbol
_atom_site_fract_x
_atom_site_fract_y
_atom_site_fract_z
Cr1 Cr 0.0000 0.2500 0.3750
Co1 Co 0.0000 0.2500 0.8750
# DFT formation energy ... 0.11 eV per atom
# DFT total energy ... -8.253 eV per atom


# CsCr3Co PBE optimized geometry
data_CsCr3Co
_symmetry_space_group_name_H-M 'P m -3 m'
_symmetry_Int_Tables_number 221
_symmetry_space_group_name_Hall '-P 4 2 3'
_cell_length_a 4.8459
_cell_length_b 4.8459
_cell_length_c 4.8459
_cell_angle_alpha 90.00
_cell_angle_beta 90.00
_cell_angle_gamma 90.00
loop_
_atom_site_label
_atom_site_type_symbol
_atom_site_fract_x
_atom_site_fract_y
_atom_site_fract_z
Cs1 Cs 0.0000 0.0000 0.0000
Cr1 Cr 0.0000 0.5000 0.5000
Co1 Co 0.5000 0.5000 0.5000
# DFT formation energy ... 1.36 eV per atom
# DFT total energy ... -6.004 eV per atom


# CsCr2Co PBE optimized geometry
data_CsCr2Co
_symmetry_space_group_name_H-M 'F m -3 m'
_symmetry_Int_Tables_number 225
_symmetry_space_group_name_Hall '-F 4 2 3'
_cell_length_a 6.2262
_cell_length_b 6.2262
_cell_length_c 6.2262
_cell_angle_alpha 90.00
_cell_angle_beta 90.00
_cell_angle_gamma 90.00
loop_
_atom_site_label
_atom_site_type_symbol
_atom_site_fract_x
_atom_site_fract_y
_atom_site_fract_z
Cs1 Cs 0.0000 0.0000 0.0000
Cr1 Cr 0.2500 0.2500 0.2500
Co1 Co 0.0000 0.0000 0.5000
# DFT formation energy ... 1.98 eV per atom
# DFT total energy ... -4.818 eV per atom